The following is a PBE calculation of an optimized crystal structure of Th6Sn2Ru, from Alexandria.

Cell and atoms, written as extended XYZ:
```
18
Lattice="6.354 0.000 0.144 0.000 8.257 0.000 -0.670 0.000 10.475" Properties=species:S:1:pos:R:3 pbc="T T T"
Th 5.429 8.050 2.733
Th 5.148 5.559 5.782
Th 4.949 5.698 10.148
Th 3.577 1.570 5.781
Th 3.378 1.430 10.147
Th 3.767 3.921 2.721
Th 0.255 0.208 7.887
Th 0.536 2.699 4.837
Th 0.735 2.559 0.471
Th 2.107 6.688 4.839
Th 2.306 6.827 0.473
Th 1.917 4.336 7.899
Sn 5.211 3.203 8.017
Sn 3.315 7.332 7.913
Sn 2.369 0.925 2.707
Sn 0.473 5.054 2.603
Ru 3.177 4.129 0.072
Ru -0.335 0.000 5.238
```

Results
**Calculated formation energy**: -0.331 eV/atom
**M_tot**: 0.000 μB per formula unit